A relaxed FeRe crystal, computed with PBE.

Summary:
Calculated volume: 25.5 Å³/f.u.
Calculated formation energy: 0.096 eV per atom
M_tot: 0.0 μB per formula unit
Space-group type: P-6m2, No. 187

a b c (Å): 2.6665 2.6665 4.1369
angles (deg): 90.00 90.00 120.00
Atoms (fractional coordinates):
Fe: 0.0000 0.0000 0.0000
Re: 0.6667 0.3333 0.5000